# GGA-PBE ScZn2Se, optimized geometry
# - theoretical density (g cm⁻³) = 5.637
# - SG = Pm (6)
# - energy relative to the elements, uncorrected (eV/atom) = -0.5479
data_ScZn2Se
_cell_length_a 3.578
_cell_length_b 3.557
_cell_length_c 5.896
_cell_angle_alpha 90.00
_cell_angle_beta 90.07
_cell_angle_gamma 90.00
_space_group_name_H-M_alt 'P 1'
_space_group_IT_number 1
loop_
_space_group_symop_operation_xyz
'x,y,z'
loop_
_atom_site_label
_atom_site_fract_x
_atom_site_fract_y
_atom_site_fract_z
_atom_site_occupancy
Sc1 0.000 0.000 0.000 1
Zn1 0.003 0.000 0.482 1
Zn2 0.503 0.500 0.305 1
Se1 0.499 0.500 0.822 1



# GGA-PBE ScZnSe2, optimized geometry
# - theoretical density (g cm⁻³) = 5.260
# - SG = I-4m2 (119)
# - energy relative to the elements, uncorrected (eV/atom) = -0.7641
data_ScZnSe2
_cell_length_a 6.593
_cell_length_b 6.593
_cell_length_c 6.593
_cell_angle_alpha 146.99
_cell_angle_beta 146.99
_cell_angle_gamma 47.37
_space_group_name_H-M_alt 'P 1'
_space_group_IT_number 1
loop_
_space_group_symop_operation_xyz
'x,y,z'
loop_
_atom_site_label
_atom_site_fract_x
_atom_site_fract_y
_atom_site_fract_z
_atom_site_occupancy
Sc1 0.000 0.000 0.000 1
Zn1 0.750 0.250 0.500 1
Se1 0.250 0.750 0.500 1
Se2 0.500 0.500 0.000 1



# GGA-PBE ScZnSe, optimized geometry
# - theoretical density (g cm⁻³) = 4.802
# - SG = Cm (8)
# - energy relative to the lowest polymorph listed for this composition (eV per atom) = 0.178
# - energy relative to the elements, uncorrected (eV/atom) = -0.7964
data_ScZnSe
_cell_length_a 5.915
_cell_length_b 5.915
_cell_length_c 6.505
_cell_angle_alpha 106.12
_cell_angle_beta 106.12
_cell_angle_gamma 36.99
_space_group_name_H-M_alt 'P 1'
_space_group_IT_number 1
loop_
_space_group_symop_operation_xyz
'x,y,z'
loop_
_atom_site_label
_atom_site_fract_x
_atom_site_fract_y
_atom_site_fract_z
_atom_site_occupancy
Sc1 0.000 0.000 0.000 1
Sc2 0.124 0.124 0.558 1
Zn1 0.251 0.251 0.213 1
Zn2 0.669 0.669 0.918 1
Se1 0.481 0.481 0.286 1
Se2 0.806 0.806 0.647 1



# GGA-PBE ScZn3Se, optimized geometry
# - theoretical density (g cm⁻³) = 3.654
# - SG = Pm-3m (221)
# - energy relative to the lowest polymorph listed for this composition (eV per atom) = 0.285
# - energy relative to the elements, uncorrected (eV/atom) = 0.7545
data_ScZn3Se
_cell_length_a 5.260
_cell_length_b 5.260
_cell_length_c 5.260
_cell_angle_alpha 90.00
_cell_angle_beta 90.00
_cell_angle_gamma 90.00
_space_group_name_H-M_alt 'P 1'
_space_group_IT_number 1
loop_
_space_group_symop_operation_xyz
'x,y,z'
loop_
_atom_site_label
_atom_site_fract_x
_atom_site_fract_y
_atom_site_fract_z
_atom_site_occupancy
Sc1 0.000 0.000 0.000 1
Zn1 0.000 0.000 0.500 1
Zn2 0.000 0.500 0.000 1
Zn3 0.500 0.000 0.000 1
Se1 0.500 0.500 0.500 1



# GGA-PBE ScZnSe, optimized geometry
# - theoretical density (g cm⁻³) = 5.371
# - SG = P3m1 (156)
# - energy relative to the lowest polymorph listed for this composition (eV per atom) = 0.492
# - energy relative to the elements, uncorrected (eV/atom) = -0.4825
data_ScZnSe
_cell_length_a 4.430
_cell_length_b 4.430
_cell_length_c 3.445
_cell_angle_alpha 90.00
_cell_angle_beta 90.00
_cell_angle_gamma 120.00
_space_group_name_H-M_alt 'P 1'
_space_group_IT_number 1
loop_
_space_group_symop_operation_xyz
'x,y,z'
loop_
_atom_site_label
_atom_site_fract_x
_atom_site_fract_y
_atom_site_fract_z
_atom_site_occupancy
Sc1 0.000 0.000 0.000 1
Zn1 0.333 0.667 0.511 1
Se1 0.667 0.333 0.494 1



# GGA-PBE ScZnSe2, optimized geometry
# - theoretical density (g cm⁻³) = 5.678
# - SG = P4/mmm (123)
# - energy relative to the elements, uncorrected (eV/atom) = -0.7829
data_ScZnSe2
_cell_length_a 3.435
_cell_length_b 3.435
_cell_length_c 6.651
_cell_angle_alpha 90.00
_cell_angle_beta 90.00
_cell_angle_gamma 90.00
_space_group_name_H-M_alt 'P 1'
_space_group_IT_number 1
loop_
_space_group_symop_operation_xyz
'x,y,z'
loop_
_atom_site_label
_atom_site_fract_x
_atom_site_fract_y
_atom_site_fract_z
_atom_site_occupancy
Sc1 0.000 0.000 0.000 1
Zn1 0.000 0.000 0.500 1
Se1 0.500 0.500 0.234 1
Se2 0.500 0.500 0.766 1



# GGA-PBE ScZnSe, optimized geometry
# - theoretical density (g cm⁻³) = 4.535
# - SG = I4mm (107)
# - energy relative to the lowest polymorph listed for this composition (eV per atom) = 0.304
# - energy relative to the elements, uncorrected (eV/atom) = -0.6704
data_ScZnSe
_cell_length_a 6.382
_cell_length_b 6.382
_cell_length_c 6.382
_cell_angle_alpha 148.85
_cell_angle_beta 148.85
_cell_angle_gamma 44.63
_space_group_name_H-M_alt 'P 1'
_space_group_IT_number 1
loop_
_space_group_symop_operation_xyz
'x,y,z'
loop_
_atom_site_label
_atom_site_fract_x
_atom_site_fract_y
_atom_site_fract_z
_atom_site_occupancy
Sc1 0.000 0.000 0.000 1
Zn1 0.654 0.654 0.000 1
Se1 0.397 0.397 0.000 1



# GGA-PBE Sc4ZnSe3, optimized geometry
# - theoretical density (g cm⁻³) = 4.864
# - SG = Cmmm (65)
# - energy relative to the elements, uncorrected (eV/atom) = -1.2602
data_Sc4ZnSe3
_cell_length_a 6.769
_cell_length_b 6.769
_cell_length_c 3.784
_cell_angle_alpha 90.00
_cell_angle_beta 90.00
_cell_angle_gamma 108.29
_space_group_name_H-M_alt 'P 1'
_space_group_IT_number 1
loop_
_space_group_symop_operation_xyz
'x,y,z'
loop_
_atom_site_label
_atom_site_fract_x
_atom_site_fract_y
_atom_site_fract_z
_atom_site_occupancy
Sc1 0.245 0.755 0.000 1
Sc2 0.247 0.247 0.500 1
Sc3 0.753 0.753 0.500 1
Sc4 0.755 0.245 0.000 1
Zn1 0.000 0.000 0.000 1
Se1 0.000 0.500 0.500 1
Se2 0.500 0.000 0.500 1
Se3 0.500 0.500 0.000 1



Taking the records one at a time from the top gives electronic total energy values of -14.6 -17.6 -27.0 -9.9 -12.5 -17.7 -13.1 -47.1 eV/cell.
Taking the records one at a time from the top gives calculated volume values of 18.76 21.17 21.82 29.10 19.51 19.61 23.11 20.58 Å³ per atom.